# EuGaF2 | the Alexandria database | GGA-PBE | optimized geometry
data_EuGaF2
_chemical_formula_sum 'Eu3 Ga3 F6'
_cell_length_a 3.9913
_cell_length_b 3.9913
_cell_length_c 21.5624
_cell_angle_alpha 90.00
_cell_angle_beta 90.00
_cell_angle_gamma 120.00
_symmetry_space_group_name_H-M 'R -3 m'
_symmetry_Int_Tables_number 166
_symmetry_space_group_name_Hall '-R 3 2"'
loop_
_atom_site_label
_atom_site_type_symbol
_atom_site_fract_x
_atom_site_fract_y
_atom_site_fract_z
_atom_site_occupancy
Eu1 Eu 0.0000 0.0000 0.0000 1
Ga1 Ga 0.0000 0.0000 0.5000 1
F1 F 0.0000 0.0000 0.1055 1
# Energy relative to the elements, uncorrected   -187.2 kJ/mol of atoms


# Eu3Ge5F12 | the Alexandria database | GGA-PBE | optimized geometry
data_Eu3Ge5F12
_chemical_formula_sum 'Eu24 Ge40 F96'
_cell_length_a 14.153
_cell_length_b 14.153
_cell_length_c 14.153
_cell_angle_alpha 90.00
_cell_angle_beta 90.00
_cell_angle_gamma 90.00
_symmetry_space_group_name_H-M 'I a -3 d'
_symmetry_Int_Tables_number 230
_symmetry_space_group_name_Hall '-I 4bd 2c 3'
loop_
_atom_site_label
_atom_site_type_symbol
_atom_site_fract_x
_atom_site_fract_y
_atom_site_fract_z
_atom_site_occupancy
Eu1 Eu 0.000 0.250 0.125 1
Ge1 Ge 0.000 0.000 0.000 1
Ge2 Ge 0.000 0.250 0.375 1
F1 F 0.006 0.066 0.654 1
# Energy relative to the elements, uncorrected   -209.9 kJ/mol of atoms


# EuHF | the Alexandria database | GGA-PBE | optimized geometry
data_EuHF
_chemical_formula_sum 'Eu4 H4 F4'
_cell_length_a 5.773
_cell_length_b 5.773
_cell_length_c 5.773
_cell_angle_alpha 90.00
_cell_angle_beta 90.00
_cell_angle_gamma 90.00
_symmetry_space_group_name_H-M 'F -4 3 m'
_symmetry_Int_Tables_number 216
_symmetry_space_group_name_Hall 'F -4 2 3'
loop_
_atom_site_label
_atom_site_type_symbol
_atom_site_fract_x
_atom_site_fract_y
_atom_site_fract_z
_atom_site_occupancy
Eu1 Eu 0.000 0.000 0.000 1
H1 H 0.250 0.250 0.750 1
F1 F 0.250 0.250 0.250 1
# Final energy   -87.95 eV for the cell shown


# EuHF | the Alexandria database | GGA-PBE | optimized geometry
data_EuHF
_chemical_formula_sum 'Eu2 H2 F2'
_cell_length_a 3.397
_cell_length_b 3.397
_cell_length_c 7.254
_cell_angle_alpha 90.00
_cell_angle_beta 90.00
_cell_angle_gamma 90.00
_symmetry_space_group_name_H-M 'I 4 m m'
_symmetry_Int_Tables_number 107
_symmetry_space_group_name_Hall 'I 4 -2'
loop_
_atom_site_label
_atom_site_type_symbol
_atom_site_fract_x
_atom_site_fract_y
_atom_site_fract_z
_atom_site_occupancy
Eu1 Eu 0.000 0.000 0.000 1
H1 H 0.000 0.000 0.658 1
F1 F 0.000 0.000 0.343 1
# Final energy   -42.37 eV for the cell shown


no.,spin magnetization (μB/cell)
1,22.34
2,161.03
3,28.00
4,14.00